# 1
A relaxed structure of K3HfMg2Se6, computed with GGA-PBE.

```
data_K3HfMg2Se6
_cell_length_a 6.910
_cell_length_b 11.969
_cell_length_c 8.060
_cell_angle_alpha 90.00
_cell_angle_beta 106.60
_cell_angle_gamma 90.00
_symmetry_space_group_name_H-M 'C 1 2/m 1'
_symmetry_Int_Tables_number 12
loop_
_symmetry_equiv_pos_as_xyz
'x,y,z'
'-x,-y,-z'
'-x,y,-z'
'x,-y,z'
'x+1/2,y+1/2,z'
'-x+1/2,-y+1/2,-z'
'-x+1/2,y+1/2,-z'
'x+1/2,-y+1/2,z'
loop_
_atom_site_label
_atom_site_type_symbol
_atom_site_fract_x
_atom_site_fract_y
_atom_site_fract_z
K1 K 0.000 0.000 0.000
K2 K 0.000 0.331 0.000
Hf1 Hf 0.000 0.500 0.500
Mg1 Mg 0.000 0.166 0.500
Se1 Se 0.228 0.338 0.695
Se2 Se 0.241 0.000 0.696
```

Values from the calculation:
Density of states at the Fermi level (states/eV per cell): 14.2


# 2
A relaxed structure of K2HfMgSe4, computed with GGA-PBE.

```
data_K2HfMgSe4
_cell_length_a 6.998
_cell_length_b 4.000
_cell_length_c 7.949
_cell_angle_alpha 90.00
_cell_angle_beta 107.08
_cell_angle_gamma 90.00
_symmetry_space_group_name_H-M 'P 1 2/m 1'
_symmetry_Int_Tables_number 10
loop_
_symmetry_equiv_pos_as_xyz
'x,y,z'
'-x,-y,-z'
'-x,y,-z'
'x,-y,z'
loop_
_atom_site_label
_atom_site_type_symbol
_atom_site_fract_x
_atom_site_fract_y
_atom_site_fract_z
K1 K 0.000 0.000 0.000
K2 K 0.500 0.500 0.000
Hf1 Hf 0.000 0.500 0.500
Mg1 Mg 0.500 0.000 0.500
Se1 Se 0.222 0.000 0.697
Se2 Se 0.260 0.500 0.309
```


Ordered energy relative to the elements, uncorrected results: -1.20, -1.32; unit eV per atom.
Ordered E results: -4.31, -4.78; unit eV per atom.
Ordered spin magnetization results: 0.0, 0.0; unit μB per formula unit.